ReOs: relaxed, PBE-GGA.

Results
raw total energy	-10.135	eV per atom
energy above the lowest structure with this stoichiometry	3.59	eV per formula unit
density of states at the Fermi level	4.25	states/eV/cell
magnetization	0.0	μB/f.u.

a b c (Å): 6.872 6.872 6.872
angles (deg): 90.00 90.00 90.00
Fractional coordinates of all 12 atoms:
Re  0.000  0.250  0.500
Re  0.250  0.500  0.000
Re  0.500  0.000  0.250
Re  0.000  0.750  0.500
Re  0.500  0.000  0.750
Re  0.750  0.500  0.000
Os  0.000  0.500  0.750
Os  0.500  0.250  0.000
Os  0.750  0.000  0.500
Os  0.250  0.000  0.500
Os  0.500  0.750  0.000
Os  0.000  0.500  0.250